The following is a DFT calculation (PBE) of an optimized crystal structure of CoTc.

As for the uncorrected energy: -8.5121 eV/atom. The symmetry is No. 198. The value obtained for the formation energy is 224 meV per atom. The calculation puts the total magnetic moment at 0.46 μB/f.u.

Unit cell a=4.678 b=4.678 c=4.678 alpha=90.00 beta=90.00 gamma=90.00
Positions (direct):
1 Co 0.100 0.400 0.600
2 Co 0.400 0.600 0.100
3 Co 0.600 0.100 0.400
4 Co 0.900 0.900 0.900
5 Tc 0.101 0.899 0.399
6 Tc 0.399 0.101 0.899
7 Tc 0.601 0.601 0.601
8 Tc 0.899 0.399 0.101

The following is a DFT calculation (PBE) of an optimized crystal structure of Be2AgHg.

As for the uncorrected energy: -2.3134 eV/atom. The symmetry is No. 12. The value obtained for the formation energy is 338 meV per atom. The calculation puts the total magnetic moment at 0.00 μB/f.u.

Unit cell a=4.523 b=4.523 c=6.934 alpha=121.28 beta=121.28 gamma=35.07
Positions (direct):
1 Be 0.214 0.214 0.359
2 Be 0.786 0.786 0.641
3 Ag 0.000 0.000 0.500
4 Hg 0.500 0.500 0.000

The following is a DFT calculation (PBE) of an optimized crystal structure of TlCdO2F.

As for the uncorrected energy: -3.6730 eV/atom. The symmetry is No. 123. The calculation puts the total magnetic moment at 1.52 μB/f.u. The calculation puts the uncorrected formation energy at -15.200 kcal/mol of atoms.

Unit cell a=4.300 b=4.300 c=4.507 alpha=90.00 beta=90.00 gamma=90.00
Positions (direct):
1 Tl 0.000 0.000 0.000
2 Cd 0.500 0.500 0.500
3 O 0.000 0.500 0.500
4 O 0.500 0.000 0.500
5 F 0.500 0.500 0.000

The following is a DFT calculation (PBE) of an optimized crystal structure of MgIn2.

As for the uncorrected energy: -2.3416 eV/atom. The symmetry is No. 74. The value obtained for the formation energy is 16 meV per atom. The calculation puts the total magnetic moment at 0.00 μB/f.u.

Unit cell a=11.699 b=11.699 c=11.699 alpha=164.15 beta=158.72 gamma=26.65
Positions (direct):
1 Mg 0.369 0.119 0.250
2 Mg 0.631 0.881 0.750
3 In 0.059 0.309 0.750
4 In 0.203 0.453 0.750
5 In 0.797 0.547 0.250
6 In 0.941 0.691 0.250

The following is a DFT calculation (PBE) of an optimized crystal structure of Pm3Mg2Pb.

As for the uncorrected energy: -3.7895 eV/atom. The symmetry is No. 164. The value obtained for the formation energy is -265 meV per atom. The calculation puts the total magnetic moment at 0.00 μB/f.u.

Unit cell a=5.491 b=5.491 c=6.702 alpha=90.00 beta=90.00 gamma=120.00
Positions (direct):
1 Pm 0.000 0.000 0.000
2 Pm 0.333 0.667 0.665
3 Pm 0.667 0.333 0.335
4 Mg 0.333 0.667 0.147
5 Mg 0.667 0.333 0.853
6 Pb 0.000 0.000 0.500

The following is a DFT calculation (PBE) of an optimized crystal structure of CuPtSe2.

As for the uncorrected energy: -4.1591 eV/atom. The symmetry is No. 44. The calculation puts the total magnetic moment at 0.00 μB/f.u. The calculation puts the uncorrected formation energy at 2.708 kcal/mol of atoms.

Unit cell a=6.356 b=6.356 c=6.356 alpha=149.52 beta=146.54 gamma=45.88
Positions (direct):
1 Cu 0.000 0.000 0.000
2 Pt 0.790 0.290 0.500
3 Se 0.187 0.687 0.500
4 Se 0.449 0.449 0.000

Number 5 is which compound?
Pm3Mg2Pb

What is the formula in the sixth record?
CuPtSe2

Which value of uncorrected energy does entry 2 give?
-2.3134 eV/atom